The following is a DFT calculation (PBE-GGA) of an optimized crystal structure of Ho2Ga3Fe14C2.

total energy	-7.54	eV per atom
formation enthalpy at 0 K	-152	meV/atom
N(E_F)	0.816	states/eV/atom

Unit cell a=6.472 b=6.472 c=6.516 alpha=83.36 beta=83.36 gamma=82.43
Element x y z (fractional)
Ho: 0.348 0.348 0.339
Ho: 0.652 0.652 0.661
Ga: 0.000 0.000 0.500
Ga: 0.000 0.500 0.000
Ga: 0.500 0.000 0.000
Fe: 0.091 0.091 0.095
Fe: 0.909 0.909 0.905
Fe: 0.655 0.655 0.155
Fe: 0.650 0.152 0.654
Fe: 0.152 0.650 0.654
Fe: 0.345 0.345 0.845
Fe: 0.350 0.848 0.346
Fe: 0.848 0.350 0.346
Fe: 0.701 0.299 0.000
Fe: 0.286 0.997 0.715
Fe: 0.003 0.714 0.285
Fe: 0.714 0.003 0.285
Fe: 0.997 0.286 0.715
Fe: 0.299 0.701 0.000
C: 0.500 0.000 0.500
C: 0.000 0.500 0.500